Record 1
A plane-wave DFT calculation with PBE-GGA was carried out for an optimized crystal structure of Hf8GaBi2.

Values from the calculation:
Electronic total energy   -8.337 eV/atom
Energy of formation   -117.4 meV/atom

Cell lengths 16.6904, 4.1200, 7.5821 Å; angles 90.00, 108.50, 90.00 degrees
Space group C2/m (No. 12)
Unique sites:
Hf 0.0406 0.0000 0.2548 (multiplicity 4)
Hf 0.0820 0.5000 0.9512 (multiplicity 4)
Hf 0.1291 0.0000 0.6812 (multiplicity 4)
Hf 0.1744 0.5000 0.4208 (multiplicity 4)
Ga 0.0000 0.5000 0.5000 (multiplicity 2)
Bi 0.2178 0.0000 0.1590 (multiplicity 4)

Record 2
A plane-wave DFT calculation with PBE-GGA was carried out for an optimized crystal structure of Hf8Ga2Bi.

Values from the calculation:
Electronic total energy   -8.227 eV/atom
Energy of formation   -84.6 meV/atom

Cell lengths 7.8299, 12.4963, 5.3249 Å; angles 90.00, 110.79, 90.00 degrees
Space group C2/m (No. 12)
Unique sites:
Hf 0.0000 0.2438 0.0000 (multiplicity 4)
Hf 0.0832 0.5000 0.8012 (multiplicity 4)
Hf 0.2034 0.1196 0.6189 (multiplicity 8)
Ga 0.0000 0.3071 0.5000 (multiplicity 4)
Bi 0.0000 0.0000 0.0000 (multiplicity 2)